Arrangement i

This record from Alexandria via LeMat-Bulk describes crystalline SnAsPd2 at its relaxed geometry. The functional is GGA-PBE.

Lattice parameters (Å, degrees): 4.651 4.651 4.651 60.00 60.00 60.00
Fractional positions:
As 0.000 0.000 0.000
Pd 0.750 0.750 0.750
Sn 0.500 0.500 0.500
Pd 0.250 0.250 0.250

Crystal system: cubic



Arrangement ii

This record from Alexandria via LeMat-Bulk describes crystalline SnAsPd2 at its relaxed geometry. The functional is GGA-PBE.

Lattice parameters (Å, degrees): 3.267 3.267 6.663 90.00 90.00 90.00
Fractional positions:
As 0.500 0.500 0.000
Pd 0.000 0.000 0.772
Sn 0.500 0.500 0.500
Pd 0.000 0.000 0.228

Crystal system: tetragonal



Arrangement iii

This record from Alexandria via LeMat-Bulk describes crystalline SnAsPd2 at its relaxed geometry. The functional is GGA-PBE.

Lattice parameters (Å, degrees): 4.173 4.173 5.665 68.39 68.39 60.00
Fractional positions:
Pd 0.263 0.263 0.212
Pd 0.068 0.068 0.797
As 0.676 0.676 0.971
Sn 0.493 0.493 0.520

Crystal system: trigonal



Arrangement iv

This record from Alexandria via LeMat-Bulk describes crystalline SnAsPd2 at its relaxed geometry. The functional is GGA-PBE.

Lattice parameters (Å, degrees): 5.837 6.592 7.815 90.00 89.81 90.00
Fractional positions:
Pd 0.508 0.694 0.607
Pd 0.008 0.806 0.607
Pd 0.513 0.711 0.152
Sn 0.293 0.900 0.879
Pd 0.992 0.194 0.393
Pd 0.487 0.289 0.848
Sn 0.793 0.600 0.879
As 0.193 0.431 0.622
Sn 0.207 0.400 0.121
Sn 0.707 0.100 0.121
As 0.807 0.569 0.378
Pd 0.013 0.789 0.152
Pd 0.492 0.306 0.393
As 0.307 0.931 0.378
As 0.693 0.069 0.622
Pd 0.987 0.211 0.848

Crystal system: monoclinic



Most stable = arrangement iv



Arrangement i

This record from Alexandria via LeMat-Bulk describes crystalline SnAsPd2 at its relaxed geometry. The functional is GGA-PBE.

Lattice parameters (Å, degrees): 4.391 4.391 8.868 75.67 75.67 90.00
Fractional positions:
As 0.500 0.500 0.000
Sn 0.750 0.250 0.500
Pd 0.375 0.413 0.750
Pd 0.163 0.625 0.250
Pd 0.587 0.125 0.250
Sn 0.000 0.000 0.000
As 0.250 0.750 0.500
Pd 0.875 0.837 0.750

Crystal system: tetragonal



Arrangement ii

This record from Alexandria via LeMat-Bulk describes crystalline SnAsPd2 at its relaxed geometry. The functional is GGA-PBE.

Lattice parameters (Å, degrees): 4.806 7.138 9.127 90.00 90.00 90.00
Fractional positions:
As 0.750 0.432 0.108
Pd 0.250 0.777 0.444
Pd 0.250 0.277 0.056
As 0.250 0.068 0.608
Sn 0.250 0.902 0.166
As 0.250 0.568 0.892
Pd 0.750 0.223 0.556
Pd 0.250 0.426 0.629
Sn 0.250 0.402 0.334
Pd 0.250 0.926 0.871
Sn 0.750 0.098 0.834
Pd 0.750 0.574 0.371
As 0.750 0.932 0.392
Pd 0.750 0.074 0.129
Pd 0.750 0.723 0.944
Sn 0.750 0.598 0.666

Crystal system: orthorhombic



Arrangement iii

This record from Alexandria via LeMat-Bulk describes crystalline SnAsPd2 at its relaxed geometry. The functional is GGA-PBE.

Lattice parameters (Å, degrees): 3.383 4.572 4.572 90.00 90.00 90.00
Fractional positions:
Pd 0.000 0.500 0.000
Pd 0.000 0.000 0.500
Sn 0.500 0.000 0.000
As 0.500 0.500 0.500

Crystal system: tetragonal



Most stable = arrangement ii



Arrangement i

This record from Alexandria via LeMat-Bulk describes crystalline SnAs2Pd8 at its relaxed geometry. The functional is GGA-PBE.

Lattice parameters (Å, degrees): 4.840 5.746 7.366 111.59 104.90 96.79
Fractional positions:
Pd 0.891 0.489 0.526
Pd 0.291 0.329 0.292
As 0.491 0.218 0.590
Pd 0.945 0.015 0.556
Pd 0.336 0.500 0.870
Pd 0.477 0.815 0.675
Pd 0.237 0.803 0.263
As 0.691 0.600 0.228
Sn 0.091 0.909 0.909
Pd 0.846 0.319 0.948
Pd 0.705 0.003 0.143

Crystal system: triclinic



Arrangement ii

This record from Alexandria via LeMat-Bulk describes crystalline SnAs2Pd8 at its relaxed geometry. The functional is GGA-PBE.

Lattice parameters (Å, degrees): 4.518 6.736 6.736 111.99 99.20 99.20
Fractional positions:
Pd 0.907 0.678 0.932
As 0.000 0.677 0.323
Pd 0.672 0.376 0.376
Pd 0.093 0.322 0.068
Pd 0.328 0.624 0.624
As 0.000 0.323 0.677
Pd 0.500 0.760 0.240
Sn 0.500 0.000 0.000
Pd 0.500 0.240 0.760
Pd 0.907 0.932 0.678
Pd 0.093 0.068 0.322

Crystal system: monoclinic



Most stable = arrangement i



Arrangement i

This record from Alexandria via LeMat-Bulk describes crystalline SnAs2Pd2 at its relaxed geometry. The functional is GGA-PBE.

Lattice parameters (Å, degrees): 7.904 7.904 3.021 90.00 90.00 90.00
Fractional positions:
Sn 0.500 0.500 0.000
As 0.348 0.848 0.000
As 0.848 0.652 0.000
Pd 0.133 0.633 0.500
Pd 0.633 0.867 0.500
Sn 0.000 0.000 0.000
As 0.652 0.152 0.000
Pd 0.867 0.367 0.500
Pd 0.367 0.133 0.500
As 0.152 0.348 0.000

Crystal system: tetragonal



Arrangement ii

This record from Alexandria via LeMat-Bulk describes crystalline SnAs2Pd2 at its relaxed geometry. The functional is GGA-PBE.

Lattice parameters (Å, degrees): 4.448 4.448 5.932 67.98 67.98 90.00
Fractional positions:
Pd 0.250 0.750 0.500
Sn 0.000 0.000 0.000
Pd 0.750 0.250 0.500
As 0.375 0.375 0.249
As 0.625 0.625 0.751

Crystal system: tetragonal



Most stable = arrangement ii



Arrangement i

This record from Alexandria via LeMat-Bulk describes crystalline Sn3AsPd at its relaxed geometry. The functional is GGA-PBE.

Lattice parameters (Å, degrees): 5.341 5.341 5.341 90.00 90.00 90.00
Fractional positions:
As 0.000 0.000 0.000
Sn 0.500 0.000 0.000
Pd 0.500 0.500 0.500
Sn 0.000 0.500 0.000
Sn 0.000 0.000 0.500

Crystal system: cubic



Arrangement ii

This record from Alexandria via LeMat-Bulk describes crystalline Sn3AsPd at its relaxed geometry. The functional is GGA-PBE.

Lattice parameters (Å, degrees): 5.172 5.172 5.172 90.00 90.00 90.00
Fractional positions:
Sn 0.000 0.000 0.500
Pd 0.000 0.000 0.000
Sn 0.000 0.500 0.000
As 0.500 0.500 0.500
Sn 0.500 0.000 0.000

Crystal system: cubic



Most stable = arrangement ii



Arrangement i

This record from Alexandria via LeMat-Bulk describes crystalline SrAs3Pd at its relaxed geometry. The functional is GGA-PBE.

Lattice parameters (Å, degrees): 5.002 5.002 5.002 90.00 90.00 90.00
Fractional positions:
As 0.000 0.000 0.500
As 0.000 0.500 0.000
Pd 0.000 0.000 0.000
As 0.500 0.000 0.000
Sr 0.500 0.500 0.500

Crystal system: cubic



Arrangement ii

This record from Alexandria via LeMat-Bulk describes crystalline SrAs3Pd at its relaxed geometry. The functional is GGA-PBE.

Lattice parameters (Å, degrees): 5.825 6.486 6.286 80.08 90.00 90.00
Fractional positions:
As 0.979 0.485 0.989
As 0.479 0.868 0.912
As 0.288 0.351 0.269
As 0.788 0.001 0.632
Sr 0.998 0.963 0.141
As 0.474 0.864 0.421
Pd 0.640 0.582 0.220
Pd 0.140 0.771 0.682
Sr 0.498 0.390 0.760
As 0.974 0.489 0.480

Crystal system: monoclinic



Arrangement iii

This record from Alexandria via LeMat-Bulk describes crystalline SrAs3Pd at its relaxed geometry. The functional is GGA-PBE.

Lattice parameters (Å, degrees): 5.562 5.562 5.562 90.00 90.00 90.00
Fractional positions:
As 0.000 0.000 0.500
Pd 0.500 0.500 0.500
As 0.000 0.500 0.000
As 0.500 0.000 0.000
Sr 0.000 0.000 0.000

Crystal system: cubic



Most stable = arrangement ii



Arrangement i

This record from Alexandria via LeMat-Bulk describes crystalline SrAs2Pd3 at its relaxed geometry. The functional is GGA-PBE.

Lattice parameters (Å, degrees): 4.211 8.244 7.717 114.02 90.00 104.80
Fractional positions:
As 0.812 0.624 0.315
Sr 0.153 0.306 0.070
As 0.481 0.961 0.821
Sr 0.847 0.694 0.930
Pd 0.314 0.629 0.569
As 0.519 0.039 0.179
Pd 0.405 0.810 0.321
Pd 0.686 0.371 0.431
Pd 0.952 0.904 0.628
Pd 0.048 0.096 0.372
As 0.188 0.376 0.685
Pd 0.595 0.190 0.679

Crystal system: monoclinic



Arrangement ii

This record from Alexandria via LeMat-Bulk describes crystalline SrAs2Pd3 at its relaxed geometry. The functional is GGA-PBE.

Lattice parameters (Å, degrees): 4.156 8.821 10.279 108.20 90.00 103.63
Fractional positions:
Pd 0.500 0.000 0.500
Sr 0.000 0.000 0.000
As 0.365 0.730 0.552
Sr 0.848 0.696 0.304
Pd 0.776 0.553 0.607
As 0.201 0.402 0.131
Pd 0.224 0.447 0.393
Pd 0.368 0.736 0.795
As 0.464 0.927 0.224
Pd 0.951 0.902 0.673
Pd 0.632 0.264 0.205
As 0.536 0.073 0.776
Pd 0.319 0.638 0.034
As 0.799 0.598 0.869
Sr 0.152 0.304 0.696
Pd 0.049 0.098 0.327
Pd 0.681 0.362 0.966
As 0.635 0.270 0.448

Crystal system: monoclinic



Most stable = arrangement ii



Arrangement i

This record from Alexandria via LeMat-Bulk describes crystalline TaAs3Pd at its relaxed geometry. The functional is GGA-PBE.

Lattice parameters (Å, degrees): 4.767 4.767 4.767 90.00 90.00 90.00
Fractional positions:
Pd 0.000 0.000 0.000
As 0.000 0.500 0.000
As 0.000 0.000 0.500
Ta 0.500 0.500 0.500
As 0.500 0.000 0.000

Crystal system: cubic



Arrangement ii

This record from Alexandria via LeMat-Bulk describes crystalline TaAs3Pd at its relaxed geometry. The functional is GGA-PBE.

Lattice parameters (Å, degrees): 4.950 4.950 4.950 90.00 90.00 90.00
Fractional positions:
Pd 0.500 0.500 0.500
As 0.000 0.500 0.000
Ta 0.000 0.000 0.000
As 0.500 0.000 0.000
As 0.000 0.000 0.500

Crystal system: cubic



Most stable = arrangement ii



Arrangement i

This record from Alexandria via LeMat-Bulk describes crystalline TaAsPd3 at its relaxed geometry. The functional is GGA-PBE.

Lattice parameters (Å, degrees): 4.590 4.590 4.590 90.00 90.00 90.00
Fractional positions:
Pd 0.000 0.000 0.500
Pd 0.500 0.000 0.000
Ta 0.500 0.500 0.500
As 0.000 0.000 0.000
Pd 0.000 0.500 0.000

Crystal system: cubic



Arrangement ii

This record from Alexandria via LeMat-Bulk describes crystalline TaAsPd3 at its relaxed geometry. The functional is GGA-PBE.

Lattice parameters (Å, degrees): 4.839 4.839 4.839 90.00 90.00 90.00
Fractional positions:
As 0.500 0.500 0.500
Pd 0.000 0.500 0.000
Pd 0.500 0.000 0.000
Pd 0.000 0.000 0.500
Ta 0.000 0.000 0.000

Crystal system: cubic



Most stable = arrangement i



Arrangement i

This record from Alexandria via LeMat-Bulk describes crystalline TcAs2Pd at its relaxed geometry. The functional is GGA-PBE.

Lattice parameters (Å, degrees): 3.103 3.103 8.074 78.92 78.92 60.00
Fractional positions:
Pd 0.506 0.506 0.483
As 0.255 0.255 0.236
Tc 0.664 0.664 0.007
As 0.075 0.075 0.774

Crystal system: trigonal



Arrangement ii

This record from Alexandria via LeMat-Bulk describes crystalline TcAs2Pd at its relaxed geometry. The functional is GGA-PBE.

Lattice parameters (Å, degrees): 4.473 4.473 4.473 60.00 60.00 60.00
Fractional positions:
As 0.750 0.750 0.750
Pd 0.500 0.500 0.500
Tc 0.000 0.000 0.000
As 0.250 0.250 0.250

Crystal system: cubic



Most stable = arrangement i